DFT (GGA-PBE) results for a relaxed IrPd8Pt6 crystal.

Cell: 6.8576 6.8576 6.8576 Å, 65.26 65.26 65.26°
With the nearest neighbours (Å) after each atom.
Sites, in units of the cell vectors:
Ir (0.0000, 0.0000, 0.0000)  6 Pt 2.64
Pd (0.1419, 0.8312, 0.4129)  3 Pt 2.62-2.72, 5 Pd 2.68-2.91
Pd (0.1688, 0.5871, 0.8581)  3 Pt 2.62-2.72, 5 Pd 2.68-2.91
Pd (0.2503, 0.2503, 0.2503)  6 Pt 2.67-2.98, 6 Pd 2.80-2.91
Pd (0.4129, 0.1419, 0.8312)  3 Pt 2.62-2.72, 5 Pd 2.68-2.91
Pd (0.5871, 0.8581, 0.1688)  3 Pt 2.62-2.72, 5 Pd 2.68-2.91
Pd (0.7497, 0.7497, 0.7497)  6 Pt 2.67-2.98, 6 Pd 2.80-2.91
Pd (0.8312, 0.4129, 0.1419)  3 Pt 2.62-2.72, 5 Pd 2.68-2.91
Pd (0.8581, 0.1688, 0.5871)  3 Pt 2.62-2.72, 5 Pd 2.68-2.91
Pt (0.0648, 0.3713, 0.6772)  3 Pt 2.59-2.85, 4 Pd 2.62-2.72, 1 Ir 2.64
Pt (0.3228, 0.9352, 0.6287)  3 Pt 2.59-2.85, 4 Pd 2.62-2.72, 1 Ir 2.64
Pt (0.3713, 0.6772, 0.0648)  3 Pt 2.59-2.85, 4 Pd 2.62-2.72, 1 Ir 2.64
Pt (0.6287, 0.3228, 0.9352)  3 Pt 2.59-2.85, 4 Pd 2.62-2.72, 1 Ir 2.64
Pt (0.6772, 0.0648, 0.3713)  3 Pt 2.59-2.85, 4 Pd 2.62-2.72, 1 Ir 2.64
Pt (0.9352, 0.6287, 0.3228)  3 Pt 2.59-2.85, 4 Pd 2.62-2.72, 1 Ir 2.64

D(E_F): 32.7 states/eV/cell
Theoretical density: 14.46 g cm⁻³
Formation energy from the elements: 22.3 kJ per mole of atoms


DFT (GGA-PBE) results for a relaxed LiTi2F crystal.

Cell: 4.3464 4.3464 4.3464 Å, 60.00 60.00 60.00°
With the nearest neighbours (Å) after each atom.
Sites, in units of the cell vectors:
Li (0.0000, 0.0000, 0.0000)  8 Ti 2.66
Ti (0.2500, 0.2500, 0.2500)  4 F 2.66, 4 Li 2.66
Ti (0.7500, 0.7500, 0.7500)  4 F 2.66, 4 Li 2.66
F (0.5000, 0.5000, 0.5000)  8 Ti 2.66

E_form (uncorrected): 0.156 eV per formula unit
D(E_F): 2.1 states/eV/cell
Theoretical density: 3.48 g cm⁻³
Energy above the lowest structure with this stoichiometry: 0.2783 eV/atom


DFT (GGA-PBE) results for a relaxed ErZn4Au2 crystal.

Cell: 7.5823 7.5823 4.3818 Å, 90.00 90.00 90.00°
With the nearest neighbours (Å) after each atom.
Sites, in units of the cell vectors:
Er (0.0000, 0.0000, 0.0000)  6 Au 3.09-3.19, 4 Zn 3.19
Er (0.5000, 0.5000, 0.5000)  6 Au 3.09-3.19, 4 Zn 3.19
Zn (0.1034, 0.3578, 0.5000)  3 Au 2.60-2.68, 6 Zn 2.67-2.89
Zn (0.1422, 0.6034, 0.0000)  3 Au 2.60-2.68, 6 Zn 2.67-2.89
Zn (0.3578, 0.1034, 0.5000)  3 Au 2.60-2.68, 6 Zn 2.67-2.89
Zn (0.3966, 0.8578, 0.0000)  3 Au 2.60-2.68, 6 Zn 2.67-2.89
Zn (0.6034, 0.1422, 0.0000)  3 Au 2.60-2.68, 6 Zn 2.67-2.89
Zn (0.6422, 0.8966, 0.5000)  3 Au 2.60-2.68, 6 Zn 2.67-2.89
Zn (0.8578, 0.3966, 0.0000)  3 Au 2.60-2.68, 6 Zn 2.67-2.89
Zn (0.8966, 0.6422, 0.5000)  3 Au 2.60-2.68, 6 Zn 2.67-2.89
Au (0.2026, 0.7974, 0.5000)  6 Zn 2.60-2.68
Au (0.2974, 0.2974, 0.0000)  6 Zn 2.60-2.68
Au (0.7026, 0.7026, 0.0000)  6 Zn 2.60-2.68
Au (0.7974, 0.2026, 0.5000)  6 Zn 2.60-2.68

D(E_F): 3.2 states/eV/cell
Theoretical density: 10.85 g cm⁻³
Formation energy from the elements: -37.7 kJ per mole of atoms
Energy above the lowest structure with this stoichiometry: 0.0000 eV/atom